*w*
Compound: YWCl
Source: the Alexandria database
Functional: PBE-GGA
Structure: relaxed

abc: 6.9881 6.9881 6.9881
angles: 90.00 90.00 90.00
Last column: nearest neighbours and their distance in Å.
Space group F-43m (No. 216)
One atom of each set of equivalent atoms:
Y1 0.0000 0.0000 0.0000 [4 per cell]  4 Cl 3.03, 4 W 3.03
W1 0.2500 0.2500 0.7500 [4 per cell]  4 Y 3.03
Cl1 0.2500 0.2500 0.2500 [4 per cell]  4 Y 3.03

---

*x*
Compound: YWCl
Source: the Alexandria database
Functional: PBE-GGA
Structure: relaxed

abc: 4.7555 4.7555 3.0517
angles: 90.00 90.00 120.00
Last column: nearest neighbours and their distance in Å.
Space group P-6m2 (No. 187)
One atom of each set of equivalent atoms:
Y1 0.0000 0.0000 0.0000 [1 per cell]  2 Y 3.05, 6 Cl 3.14, 6 W 3.14
W1 0.3333 0.6667 0.5000 [1 per cell]  3 Cl 2.75, 2 W 3.05
Cl1 0.6667 0.3333 0.5000 [1 per cell]  3 W 2.75, 2 Cl 3.05

---

*y*
Compound: YWCl
Source: the Alexandria database
Functional: PBE-GGA
Structure: relaxed

abc: 6.3939 6.3939 6.3939
angles: 90.00 90.00 90.00
Last column: nearest neighbours and their distance in Å.
Space group F-43m (No. 216)
One atom of each set of equivalent atoms:
Y1 0.0000 0.0000 0.0000 [4 per cell]  4 Cl 2.77
W1 0.0000 0.0000 0.5000 [4 per cell]  4 Cl 2.77
Cl1 0.2500 0.2500 0.2500 [4 per cell]  4 W 2.77, 4 Y 2.77

---

Stability, lowest: *w*

---

*w*
Compound: YWCl
Source: the Alexandria database
Functional: PBE-GGA
Structure: relaxed

abc: 3.2634 3.2634 7.9521
angles: 90.00 90.00 120.00
Last column: nearest neighbours and their distance in Å.
Space group P3m1 (No. 156)
One atom of each set of equivalent atoms:
Y1 0.0000 0.0000 0.0000 [1 per cell]  3 Cl 2.71, 3 W 3.00
W1 0.3333 0.6667 0.7069 [1 per cell]  3 Y 3.00, 6 W 3.26
Cl1 0.6667 0.3333 0.2455 [1 per cell]  3 Y 2.71

---

*x*
Compound: YWCl
Source: the Alexandria database
Functional: PBE-GGA
Structure: relaxed

abc: 4.2912 4.3075 16.4814
angles: 90.00 90.00 90.00
Last column: nearest neighbours and their distance in Å.
Space group Fmm2 (No. 42)
One atom of each set of equivalent atoms:
Y1 0.0000 0.0000 0.0000 [4 per cell]  4 Cl 2.82-2.83, 4 Y 3.04, 4 W 3.10-3.11
W1 0.0000 0.0000 0.6359 [4 per cell]  4 W 3.04, 4 Y 3.10-3.11
Cl1 0.0000 0.0000 0.3889 [4 per cell]  4 Y 2.82-2.83, 4 Cl 3.04

---

Stability, lowest: *w*

---

*w*
Compound: Y3WCl
Source: the Alexandria database
Functional: PBE-GGA
Structure: relaxed

abc: 5.5102 5.5102 5.5102
angles: 90.00 90.00 90.00
Last column: nearest neighbours and their distance in Å.
Space group Pm-3m (No. 221)
One atom of each set of equivalent atoms:
Y1 0.0000 0.0000 0.5000 [3 per cell]  2 W 2.76
W1 0.0000 0.0000 0.0000 [1 per cell]  6 Y 2.76
Cl1 0.5000 0.5000 0.5000 [1 per cell]  12 Y 3.90

---

*x*
Compound: Y3WCl
Source: the Alexandria database
Functional: PBE-GGA
Structure: relaxed

abc: 5.0440 5.0440 5.0440
angles: 90.00 90.00 90.00
Last column: nearest neighbours and their distance in Å.
Space group Pm-3m (No. 221)
One atom of each set of equivalent atoms:
Y1 0.0000 0.0000 0.5000 [3 per cell]  2 Cl 2.52
W1 0.5000 0.5000 0.5000 [1 per cell]  12 Y 3.57
Cl1 0.0000 0.0000 0.0000 [1 per cell]  6 Y 2.52

---

Stability, lowest: *w*